Entry 1:
First-principles (PBE-GGA) data for an optimized crystal structure of Sc2HgIrCl, as listed in Alexandria.

The total DFT energy (no corrections) is -22.45 eV per cell. Its spin magnetization is 0.0 μB per formula unit.

The structure belongs to space group P4/mmm (No. 123); the cell edges are 4.631, 4.631 and 5.035 Å and the angles 90.00°, 90.00° and 90.00°. The asymmetric unit holds Sc at (0.000, 0.500, 0.000), Hg at (0.000, 0.000, 0.500), Ir at (0.500, 0.500, 0.500) and Cl at (0.000, 0.000, 0.000).

Entry 2:
First-principles (PBE-GGA) data for an optimized crystal structure of KPdPb3Au, as listed in Alexandria.

The total DFT energy (no corrections) is -84.10 eV per cell. Its spin magnetization is 0.0 μB per formula unit. Its formation energy is -0.055 eV per atom.

The structure belongs to space group Cmcm (No. 63); the cell edges are 7.222, 14.849 and 6.572 Å and the angles 90.00°, 90.00° and 90.00°. The asymmetric unit holds K at (0.000, 0.206, 0.250), Pd at (0.000, 0.410, 0.250), Pb at (0.000, 0.348, 0.750), Pb at (0.237, 0.000, 0.000) and Au at (0.000, 0.150, 0.750).

Entry 3:
First-principles (PBE-GGA) data for an optimized crystal structure of YZnSi2, as listed in Alexandria.

The total DFT energy (no corrections) is -161.38 eV per cell. Its spin magnetization is 0.0 μB per formula unit.

The structure belongs to space group Pnma (No. 62); the cell edges are 13.682, 4.163 and 10.415 Å and the angles 90.00°, 90.00° and 90.00°. The asymmetric unit holds Y at (0.054, 0.250, 0.238), Y at (0.186, 0.750, 0.948), Zn at (0.055, 0.250, 0.542), Zn at (0.227, 0.750, 0.642), Si at (0.023, 0.250, 0.956), Si at (0.110, 0.250, 0.764), Si at (0.133, 0.750, 0.442) and Si at (0.214, 0.750, 0.241).

Entry 4:
First-principles (PBE-GGA) data for an optimized crystal structure of Ca5Hg3Br12, as listed in Alexandria.

The total DFT energy (no corrections) is -473.21 eV per cell. Its spin magnetization is 0.0 μB per formula unit.

The structure belongs to space group Ia-3d (No. 230); the cell edges are 18.197, 18.197 and 18.197 Å and the angles 90.00°, 90.00° and 90.00°. The asymmetric unit holds Ca at (0.000, 0.000, 0.000), Ca at (0.000, 0.250, 0.375), Hg at (0.000, 0.250, 0.125) and Br at (0.030, 0.059, 0.646).

Entry 5:
First-principles (PBE-GGA) data for an optimized crystal structure of LaV2Cl, as listed in Alexandria.

The total DFT energy (no corrections) is -94.73 eV per cell. Its spin magnetization is 0.0 μB per formula unit.

The structure belongs to space group I-42d (No. 122); the cell edges are 4.202, 4.202 and 18.152 Å and the angles 90.00°, 90.00° and 90.00°. The asymmetric unit holds La at (0.000, 0.000, 0.000), V at (0.093, 0.250, 0.625) and Cl at (0.000, 0.000, 0.500).

Entry 6:
First-principles (PBE-GGA) data for an optimized crystal structure of TaCdTe2, as listed in Alexandria.

The total DFT energy (no corrections) is -48.64 eV per cell. Its spin magnetization is 0.0 μB per formula unit.

The structure belongs to space group R-3m (No. 166, hexagonal axes); the cell edges are 3.7803, 3.7803 and 27.7847 Å and the angles 90.00°, 90.00° and 120.00°. The asymmetric unit holds Ta at (0.0000, 0.0000, 0.0000), Cd at (0.0000, 0.0000, 0.5000) and Te at (0.0000, 0.0000, 0.0949).

Entry 7:
First-principles (PBE-GGA) data for an optimized crystal structure of PuCO2, as listed in Alexandria.

The total DFT energy (no corrections) is -92.89 eV per cell. Its spin magnetization is 2.0 μB per formula unit.

The structure belongs to space group R-3m (No. 166, hexagonal axes); the cell edges are 2.6092, 2.6092 and 20.2279 Å and the angles 90.00°, 90.00° and 120.00°. The asymmetric unit holds Pu at (0.0000, 0.0000, 0.0000), C at (0.0000, 0.0000, 0.5000) and O at (0.0000, 0.0000, 0.1204).

Entry 8:
First-principles (PBE-GGA) data for an optimized crystal structure of Ba2Tl2Sn, as listed in Alexandria.

The total DFT energy (no corrections) is -59.40 eV per cell. Its spin magnetization is 0.0 μB per formula unit. Its formation energy is -0.454 eV per atom.

The structure belongs to space group C2/m (No. 12); the cell edges are 13.262, 4.926 and 13.250 Å and the angles 90.00°, 115.53° and 90.00°. The asymmetric unit holds Ba at (0.092, 0.000, 0.391), Ba at (0.206, 0.500, 0.160), Tl at (0.088, 0.000, 0.951), Tl at (0.129, 0.500, 0.610) and Sn at (0.064, 0.500, 0.809).

Entry 9:
First-principles (PBE-GGA) data for an optimized crystal structure of La9Sm2Er, as listed in Alexandria.

The total DFT energy (no corrections) is -58.26 eV per cell. Its spin magnetization is 0.0 μB per formula unit. Its formation energy is 0.007 eV per atom.

The structure belongs to space group P4/mmm (No. 123); the cell edges are 5.217, 5.217 and 15.659 Å and the angles 90.00°, 90.00° and 90.00°. The asymmetric unit holds La at (0.000, 0.000, 0.000), La at (0.000, 0.000, 0.333), La at (0.000, 0.500, 0.165), La at (0.000, 0.500, 0.500), Sm at (0.500, 0.500, 0.332) and Er at (0.500, 0.500, 0.000).

Entry 10:
First-principles (PBE-GGA) data for an optimized crystal structure of Pu3Ga4Pd2, as listed in Alexandria.

The total DFT energy (no corrections) is -135.02 eV per cell. Its spin magnetization is 5.7 μB per formula unit. Its formation energy is -0.225 eV per atom.

The structure belongs to space group C2/m (No. 12); the cell edges are 14.963, 3.957 and 6.278 Å and the angles 90.00°, 109.54° and 90.00°. The asymmetric unit holds Pu at (0.000, 0.000, 0.000), Pu at (0.030, 0.500, 0.755), Ga at (0.133, 0.000, 0.490), Ga at (0.174, 0.500, 0.229) and Pd at (0.184, 0.000, 0.914).

Entry 11:
First-principles (PBE-GGA) data for an optimized crystal structure of CaZn10Cu2, as listed in Alexandria.

The total DFT energy (no corrections) is -99.05 eV per cell. Its spin magnetization is 0.0 μB per formula unit. Its formation energy is -0.141 eV per atom.

The structure belongs to space group Fmmm (No. 69); the cell edges are 4.991, 12.715 and 12.774 Å and the angles 90.00°, 90.00° and 90.00°. The asymmetric unit holds Ca at (0.000, 0.000, 0.000), Zn at (0.000, 0.112, 0.393), Zn at (0.000, 0.180, 0.171), Zn at (0.250, 0.000, 0.250) and Cu at (0.250, 0.250, 0.000).

Entry 12:
First-principles (PBE-GGA) data for an optimized crystal structure of Y2SeBr, as listed in Alexandria.

The total DFT energy (no corrections) is -44.95 eV per cell. Its spin magnetization is 0.0 μB per formula unit.

The structure belongs to space group C2/m (No. 12); the cell edges are 7.520, 8.798 and 3.814 Å and the angles 90.00°, 120.08° and 90.00°. The asymmetric unit holds Y at (0.250, 0.250, 0.000), Se at (0.000, 0.000, 0.000) and Br at (0.000, 0.500, 0.000).

Entry 13:
First-principles (PBE-GGA) data for an optimized crystal structure of Tb2SmZn5, as listed in Alexandria.

The total DFT energy (no corrections) is -45.66 eV per cell. Its spin magnetization is 0.0 μB per formula unit. Its formation energy is -0.310 eV per atom.

The structure belongs to space group I4/mmm (No. 139); the cell edges are 4.867, 4.867 and 14.218 Å and the angles 90.00°, 90.00° and 90.00°. The asymmetric unit holds Tb at (0.000, 0.000, 0.232), Sm at (0.000, 0.000, 0.500), Zn at (0.000, 0.000, 0.000) and Zn at (0.000, 0.500, 0.117).

Entry 14:
First-principles (PBE-GGA) data for an optimized crystal structure of CrTcIr2Rh, as listed in Alexandria.

The total DFT energy (no corrections) is -36.41 eV per cell. Its spin magnetization is 0.6 μB per formula unit. Its formation energy is 1.730 eV per atom.

The structure belongs to space group P4/mmm (No. 123); the cell edges are 4.675, 4.675 and 4.301 Å and the angles 90.00°, 90.00° and 90.00°. The asymmetric unit holds Cr at (0.000, 0.000, 0.000), Tc at (0.000, 0.000, 0.500), Ir at (0.000, 0.500, 0.500) and Rh at (0.500, 0.500, 0.000).

Entry 15:
First-principles (PBE-GGA) data for an optimized crystal structure of Li4NiSe, as listed in Alexandria.

The total DFT energy (no corrections) is -67.69 eV per cell. Its spin magnetization is 0.3 μB per formula unit.

The structure belongs to space group F-43m (No. 216); the cell edges are 7.007, 7.007 and 7.007 Å and the angles 90.00°, 90.00° and 90.00°. The asymmetric unit holds Li at (0.124, 0.124, 0.124), Ni at (0.250, 0.250, 0.750) and Se at (0.000, 0.000, 0.500).

Entry 16:
First-principles (PBE-GGA) data for an optimized crystal structure of Rb2BaMoCl6, as listed in Alexandria.

The total DFT energy (no corrections) is -164.93 eV per cell. Its spin magnetization is 2.0 μB per formula unit.

The structure belongs to space group Fm-3m (No. 225); the cell edges are 10.949, 10.949 and 10.949 Å and the angles 90.00°, 90.00° and 90.00°. The asymmetric unit holds Rb at (0.250, 0.250, 0.250), Ba at (0.000, 0.000, 0.000), Mo at (0.000, 0.000, 0.500) and Cl at (0.000, 0.000, 0.273).

Entry 17:
First-principles (PBE-GGA) data for an optimized crystal structure of BaGaH, as listed in Alexandria.

The total DFT energy (no corrections) is -36.33 eV per cell. Its spin magnetization is 0.0 μB per formula unit.

The structure belongs to space group Cmcm (No. 63); the cell edges are 3.621, 18.591 and 4.052 Å and the angles 90.00°, 90.00° and 90.00°. The asymmetric unit holds Ba at (0.000, 0.090, 0.250), Ga at (0.000, 0.245, 0.750) and H at (0.000, 0.450, 0.250).

Entry 18:
First-principles (PBE-GGA) data for an optimized crystal structure of KLi2Be, as listed in Alexandria.

The total DFT energy (no corrections) is -12.00 eV per cell. Its spin magnetization is 0.0 μB per formula unit. Its formation energy is 0.663 eV per atom.

The structure belongs to space group C2/m (No. 12); the cell edges are 6.448, 9.925 and 3.336 Å and the angles 90.00°, 115.67° and 90.00°. The asymmetric unit holds K at (0.000, 0.000, 0.000), Li at (0.250, 0.250, 0.500) and Be at (0.000, 0.500, 0.000).

Entry 19:
First-principles (PBE-GGA) data for an optimized crystal structure of SrAl4Tc, as listed in Alexandria.

The total DFT energy (no corrections) is -107.00 eV per cell. Its spin magnetization is 0.0 μB per formula unit. Its formation energy is 0.045 eV per atom.

The structure belongs to space group F-43m (No. 216); the cell edges are 7.597, 7.597 and 7.597 Å and the angles 90.00°, 90.00° and 90.00°. The asymmetric unit holds Sr at (0.000, 0.000, 0.000), Al at (0.124, 0.124, 0.376) and Tc at (0.250, 0.250, 0.750).

Entry 20:
First-principles (PBE-GGA) data for an optimized crystal structure of Li5Mg2Pb, as listed in Alexandria.

The total DFT energy (no corrections) is -36.00 eV per cell. Its spin magnetization is 0.0 μB per formula unit. Its formation energy is -0.192 eV per atom.

The structure belongs to space group I4/mmm (No. 139); the cell edges are 4.819, 4.819 and 13.409 Å and the angles 90.00°, 90.00° and 90.00°. The asymmetric unit holds Li at (0.000, 0.000, 0.000), Li at (0.000, 0.500, 0.118), Mg at (0.000, 0.000, 0.256) and Pb at (0.000, 0.000, 0.500).